No. 1
DFT (PBE) results for a geometry-optimized CsCdTe2Pb structure.

abc: 8.671 4.355 10.217
angles: 90.00 90.01 90.00
Sites, in units of the cell vectors:
Cs 0.000 0.001 0.250
Cs 0.000 0.999 0.750
Cd 0.500 0.000 0.000
Cd 0.500 0.000 0.500
Te 0.256 0.496 0.000
Te 0.256 0.504 0.500
Te 0.744 0.496 0.500
Te 0.744 0.504 0.000
Pb 0.500 0.500 0.250
Pb 0.500 0.500 0.750

Results
ρ (g/cm³): 6.09
Size of the total moment (μB per atom): 0.00
Crystal system: monoclinic
Formation energy (no corrections) (eV per atom): -0.4997

=====

No. 2
DFT (PBE) results for a geometry-optimized LaHo2Lu structure.

abc: 3.564 3.564 10.122
angles: 90.00 90.00 90.00
Sites, in units of the cell vectors:
La 0.000 0.000 0.000
Ho 0.500 0.500 0.260
Ho 0.500 0.500 0.740
Lu 0.000 0.000 0.500

Results
ρ (g/cm³): 8.31
Size of the total moment (μB per atom): 0.00
Crystal system: tetragonal
E above lowest polymorph (kJ per mole of atoms): 0.1
Energy of formation from the pure elements (eV per formula unit): 0.16

=====

- What is the size of the total moment in the first record?
  0.00 μB per atom

=====

- What is the size of the total moment in the second record?
  0.00 μB per atom